Record 1
# CsZrB PBE relaxed
data_CsZrB
_chemical_formula_sum 'Cs4 Zr4 B4'
_cell_length_a 6.588
_cell_length_b 6.588
_cell_length_c 6.588
_cell_angle_alpha 90.00
_cell_angle_beta 90.00
_cell_angle_gamma 90.00
_space_group_name_H-M_alt 'F -4 3 m'
_space_group_IT_number 216
_space_group_name_Hall 'F -4 2 3'
loop_
_atom_site_label
_atom_site_type_symbol
_atom_site_fract_x
_atom_site_fract_y
_atom_site_fract_z
Cs1 Cs 0.000 0.000 0.000
Zr1 Zr 0.250 0.250 0.250
B1 B 0.250 0.250 0.750
# DFT total energy   -35.20 eV per cell
# Spin magnetization   0.0 μB/f.u.

***

Record 2
# PmNi2Sn PBE relaxed
data_PmNi2Sn
_chemical_formula_sum 'Pm1 Ni2 Sn1'
_cell_length_a 4.581
_cell_length_b 4.581
_cell_length_c 3.513
_cell_angle_alpha 90.00
_cell_angle_beta 90.00
_cell_angle_gamma 90.00
_space_group_name_H-M_alt 'P 4/m m m'
_space_group_IT_number 123
_space_group_name_Hall '-P 4 2'
loop_
_atom_site_label
_atom_site_type_symbol
_atom_site_fract_x
_atom_site_fract_y
_atom_site_fract_z
Pm1 Pm 0.000 0.000 0.000
Ni1 Ni 0.000 0.500 0.500
Sn1 Sn 0.500 0.500 0.000
# DFT total energy   -20.93 eV per cell
# Spin magnetization   0.0 μB/f.u.

***

Record 3
# TbInCl3 PBE relaxed
data_TbInCl3
_chemical_formula_sum 'Tb1 In1 Cl3'
_cell_length_a 5.335
_cell_length_b 5.335
_cell_length_c 5.335
_cell_angle_alpha 90.00
_cell_angle_beta 90.00
_cell_angle_gamma 90.00
_space_group_name_H-M_alt 'P m -3 m'
_space_group_IT_number 221
_space_group_name_Hall '-P 4 2 3'
loop_
_atom_site_label
_atom_site_type_symbol
_atom_site_fract_x
_atom_site_fract_y
_atom_site_fract_z
Tb1 Tb 0.000 0.000 0.000
In1 In 0.500 0.500 0.500
Cl1 Cl 0.000 0.000 0.500
# DFT total energy   -20.06 eV per cell
# Spin magnetization   0.2 μB/f.u.

***

Record 4
# La2P2PdPt PBE relaxed
data_La2P2PdPt
_chemical_formula_sum 'La2 P2 Pd1 Pt1'
_cell_length_a 4.2609
_cell_length_b 4.2609
_cell_length_c 8.0929
_cell_angle_alpha 90.00
_cell_angle_beta 90.00
_cell_angle_gamma 120.00
_space_group_name_H-M_alt 'P 3 m 1'
_space_group_IT_number 156
_space_group_name_Hall 'P 3 -2"'
loop_
_atom_site_label
_atom_site_type_symbol
_atom_site_fract_x
_atom_site_fract_y
_atom_site_fract_z
La1 La 0.0000 0.0000 0.0000
La2 La 0.0000 0.0000 0.4987
P1 P 0.3333 0.6667 0.7468
P2 P 0.6667 0.3333 0.2469
Pd1 Pd 0.3333 0.6667 0.2510
Pt1 Pt 0.6667 0.3333 0.7509
# DFT total energy   -40.04 eV per cell
# Spin magnetization   0.0 μB/f.u.

***

Record 5
# HoZr2 PBE relaxed
data_HoZr2
_chemical_formula_sum 'Ho4 Zr8'
_cell_length_a 3.322
_cell_length_b 17.432
_cell_length_c 5.302
_cell_angle_alpha 90.00
_cell_angle_beta 90.00
_cell_angle_gamma 90.00
_space_group_name_H-M_alt 'C m c m'
_space_group_IT_number 63
_space_group_name_Hall '-C 2c 2'
loop_
_atom_site_label
_atom_site_type_symbol
_atom_site_fract_x
_atom_site_fract_y
_atom_site_fract_z
Ho1 Ho 0.000 0.057 0.250
Zr1 Zr 0.000 0.275 0.750
Zr2 Zr 0.000 0.378 0.250
# Formation enthalpy at 0 K   0.0361 eV per atom
# DFT total energy   -86.25 eV per cell
# Spin magnetization   0.0 μB/f.u.

***

Record 6
# YSnPd2 PBE relaxed
data_YSnPd2
_chemical_formula_sum 'Y2 Sn2 Pd4'
_cell_length_a 4.017
_cell_length_b 6.249
_cell_length_c 6.550
_cell_angle_alpha 90.00
_cell_angle_beta 90.00
_cell_angle_gamma 90.00
_space_group_name_H-M_alt 'P m c 21'
_space_group_IT_number 26
_space_group_name_Hall 'P 2c -2'
loop_
_atom_site_label
_atom_site_type_symbol
_atom_site_fract_x
_atom_site_fract_y
_atom_site_fract_z
Y1 Y 0.000 0.149 0.000
Sn1 Sn 0.500 0.342 0.642
Pd1 Pd 0.000 0.421 0.352
Pd2 Pd 0.500 0.085 0.298
# DFT total energy   -47.39 eV per cell
# Spin magnetization   0.0 μB/f.u.

***

Record 7
# LiAg2Sn PBE relaxed
data_LiAg2Sn
_chemical_formula_sum 'Li2 Ag4 Sn2'
_cell_length_a 4.668
_cell_length_b 4.668
_cell_length_c 6.823
_cell_angle_alpha 90.00
_cell_angle_beta 90.00
_cell_angle_gamma 90.00
_space_group_name_H-M_alt 'I 4/m m m'
_space_group_IT_number 139
_space_group_name_Hall '-I 4 2'
loop_
_atom_site_label
_atom_site_type_symbol
_atom_site_fract_x
_atom_site_fract_y
_atom_site_fract_z
Li1 Li 0.000 0.000 0.000
Ag1 Ag 0.000 0.500 0.250
Sn1 Sn 0.000 0.000 0.500
# DFT total energy   -25.01 eV per cell

***

Record 8
# LaDyMg4Pd2 PBE relaxed
data_LaDyMg4Pd2
_chemical_formula_sum 'La2 Dy2 Mg8 Pd4'
_cell_length_a 6.463
_cell_length_b 5.140
_cell_length_c 15.019
_cell_angle_alpha 90.00
_cell_angle_beta 90.00
_cell_angle_gamma 90.00
_space_group_name_H-M_alt 'A m m 2'
_space_group_IT_number 38
_space_group_name_Hall 'A 2 -2'
loop_
_atom_site_label
_atom_site_type_symbol
_atom_site_fract_x
_atom_site_fract_y
_atom_site_fract_z
La1 La 0.000 0.000 0.000
Dy1 Dy 0.000 0.000 0.229
Mg1 Mg 0.263 0.000 0.815
Mg2 Mg 0.284 0.000 0.548
Pd1 Pd 0.000 0.000 0.410
Pd2 Pd 0.000 0.000 0.673
# DFT total energy   -51.26 eV per cell
# Spin magnetization   0.1 μB/f.u.

***

Record 9
# Na2Gd3Te4Cl3O12 PBE relaxed
data_Na2Gd3Te4Cl3O12
_chemical_formula_sum 'Na8 Gd12 Te16 Cl12 O48'
_cell_length_a 23.730
_cell_length_b 5.563
_cell_length_c 16.717
_cell_angle_alpha 90.00
_cell_angle_beta 134.42
_cell_angle_gamma 90.00
_space_group_name_H-M_alt 'C 1 2/c 1'
_space_group_IT_number 15
_space_group_name_Hall '-C 2yc'
loop_
_atom_site_label
_atom_site_type_symbol
_atom_site_fract_x
_atom_site_fract_y
_atom_site_fract_z
Na1 Na 0.166 0.219 0.071
Gd1 Gd 0.000 0.251 0.750
Gd2 Gd 0.001 0.249 0.086
Te1 Te 0.137 0.204 0.700
Te2 Te 0.139 0.302 0.408
Cl1 Cl 0.250 0.247 0.668
Cl2 Cl 0.250 0.250 0.000
O1 O 0.069 0.079 0.714
O2 O 0.072 0.449 0.593
O3 O 0.074 0.426 0.260
O4 O 0.077 0.049 0.389
O5 O 0.087 0.017 0.078
O6 O 0.088 0.482 0.929
# DFT total energy   -571.51 eV per cell
# Spin magnetization   0.0 μB/f.u.

***

Record 10
# Nd2HoAl3Cu2Ni PBE relaxed
data_Nd2HoAl3Cu2Ni
_chemical_formula_sum 'Nd4 Ho2 Al6 Cu4 Ni2'
_cell_length_a 4.064
_cell_length_b 12.375
_cell_length_c 7.024
_cell_angle_alpha 90.00
_cell_angle_beta 90.00
_cell_angle_gamma 90.00
_space_group_name_H-M_alt 'A m m 2'
_space_group_IT_number 38
_space_group_name_Hall 'A 2 -2'
loop_
_atom_site_label
_atom_site_type_symbol
_atom_site_fract_x
_atom_site_fract_y
_atom_site_fract_z
Nd1 Nd 0.000 0.206 0.000
Ho1 Ho 0.000 0.000 0.618
Al1 Al 0.500 0.000 0.979
Al2 Al 0.500 0.112 0.324
Cu1 Cu 0.500 0.160 0.704
Ni1 Ni 0.000 0.000 0.215
# DFT total energy   -84.85 eV per cell
# Spin magnetization   0.0 μB/f.u.

***

Among the records above, which one has the highest DFT total energy? TbInCl3

***

Which value of DFT total energy does entry 7 give? -25.01 eV per cell